(1)
Co3As | GGA-PBEsol | relaxed

a = 2.7238 Å, b = 2.7238 Å, c = 7.2858 Å
α = 90.00°, β = 90.00°, γ = 120.00°
Each line ends with the local moment (μB).
Sites, in units of the cell vectors:
Co 0.3333 0.6667 0.7566  1.05
Co 0.0000 0.0000 0.5000  1.82
Co 0.3333 0.6667 0.2434  1.05
As 0.0000 0.0000 0.0000  -0.02

Properties
E_form, eV per atom: 0.21


(2)
CrCoAs2 | GGA-PBEsol | relaxed

a = 2.8995 Å, b = 4.4917 Å, c = 4.4996 Å
α = 90.00°, β = 90.00°, γ = 108.74°
Sites, in units of the cell vectors:
As 0.4624 0.2977 0.5000
As 0.2856 0.9480 0.0000
Cr 0.1754 0.7262 0.5000
Co 0.5767 0.5280 0.0000

Properties
E_form, eV per atom: -0.03
Excess energy over the best structure of this formula in the dataset, meV/atom: 34


(3)
CrCoAs2 | GGA-PBEsol | relaxed

a = 3.0366 Å, b = 4.1504 Å, c = 4.4729 Å
α = 102.15°, β = 109.84°, γ = 90.00°
Each line ends with the local moment (μB).
Sites, in units of the cell vectors:
Cr 0.7322 0.1668 0.4643  0.89
Co 0.5163 0.5712 0.0327  0.06
As 0.0039 0.0843 0.0077  -0.04
As 0.2476 0.6777 0.4953  -0.03

Properties
E_form, eV per atom: -0.06
Excess energy over the best structure of this formula in the dataset, meV/atom: 0


(4)
CrCoRe2As | GGA-PBEsol | relaxed

a = 4.1867 Å, b = 4.4404 Å, c = 4.4404 Å
α = 90.00°, β = 90.00°, γ = 90.00°
Each line ends with the local moment (μB).
Sites, in units of the cell vectors:
Re 0.0000 0.0000 0.5000  -0.71
Re 0.0000 0.5000 0.0000  -0.71
Cr 0.5000 0.5000 0.5000  3.21
Co 0.0000 0.0000 0.0000  -0.20
As 0.5000 0.0000 0.0000  -0.06

Properties
E_form, eV per atom: 1.57


(5)
Sc2CrCoAs | GGA-PBEsol | relaxed

a = 4.2191 Å, b = 4.9807 Å, c = 4.9807 Å
α = 90.00°, β = 90.00°, γ = 90.00°
Each line ends with the local moment (μB).
Sites, in units of the cell vectors:
Cr 0.5000 0.5000 0.5000  3.85
Sc 0.0000 0.0000 0.5000  -0.02
Sc 0.0000 0.5000 0.0000  -0.02
Co 0.5000 0.0000 0.0000  0.96
As 0.0000 0.0000 0.0000  0.04

Properties
E_form, eV per atom: 0.32


(6)
CrCo2TcAs | GGA-PBEsol | relaxed

a = 4.3645 Å, b = 4.3645 Å, c = 4.6035 Å
α = 90.00°, β = 90.00°, γ = 90.00°
Each line ends with the local moment (μB).
Sites, in units of the cell vectors:
Tc 0.0000 0.0000 0.0000  0.09
Co 0.0000 0.5000 0.0000  -0.72
Co 0.5000 0.0000 0.0000  -0.72
As 0.0000 0.0000 0.5000  -0.09
Cr 0.5000 0.5000 0.5000  3.81

Properties
E_form, eV per atom: 1.30


(7)
CsCo2As2 | GGA-PBEsol | relaxed

a = 3.7375 Å, b = 3.7375 Å, c = 7.8511 Å
α = 103.77°, β = 103.77°, γ = 90.00°
Sites, in units of the cell vectors:
As 0.6612 0.6612 0.3223
As 0.3388 0.3388 0.6777
Co 0.7500 0.2500 0.5000
Co 0.2500 0.7500 0.5000
Cs 0.0000 0.0000 0.0000

Properties
E_form, eV per atom: -0.42


(8)
CsCo2AsPb | GGA-PBEsol | relaxed

a = 4.6625 Å, b = 4.6625 Å, c = 6.1502 Å
α = 90.00°, β = 90.00°, γ = 90.00°
Each line ends with the local moment (μB).
Sites, in units of the cell vectors:
Cs 0.0000 0.0000 0.0000  -0.04
Co 0.5000 0.0000 0.0000  1.16
Co 0.0000 0.5000 0.0000  1.16
As 0.5000 0.5000 0.5000  0.12
Pb 0.0000 0.0000 0.5000  -0.02

Properties
E_form, eV per atom: 2.15


(9)
CoCu2As | GGA-PBEsol | relaxed

a = 2.7801 Å, b = 4.3939 Å, c = 4.3939 Å
α = 114.31°, β = 90.00°, γ = 90.00°
Each line ends with the local moment (μB).
Sites, in units of the cell vectors:
Cu 0.0000 0.0000 0.5000  0.01
Cu 0.0000 0.5000 0.0000  0.01
Co 0.5000 0.5000 0.5000  0.83
As 0.5000 0.0000 0.0000  0.00

Properties
E_form, eV per atom: 0.18


(10)
CoCu2As | GGA-PBEsol | relaxed

a = 3.5135 Å, b = 3.5135 Å, c = 3.8321 Å
α = 90.00°, β = 90.00°, γ = 90.00°
Each line ends with the local moment (μB).
Sites, in units of the cell vectors:
Cu 0.0000 0.5000 0.0000  0.04
Cu 0.5000 0.0000 0.0000  0.04
As 0.5000 0.5000 0.5000  0.04
Co 0.0000 0.0000 0.5000  0.87

Properties
E_form, eV per atom: 0.06


(11)
CoCuAs | GGA-PBEsol | relaxed

a = 3.1116 Å, b = 2.9680 Å, c = 4.4973 Å
α = 109.27°, β = 110.24°, γ = 90.00°
Each line ends with the local moment (μB).
Sites, in units of the cell vectors:
Co 0.6540 0.6540 0.3081  0.22
As 0.0146 0.0146 0.0292  -0.01
Cu 0.3314 0.3314 0.6627  -0.01

Properties
E_form, eV per atom: 0.03


(12)
Co7CuAs4H4O20 | GGA-PBEsol | relaxed

a = 5.9089 Å, b = 8.1094 Å, c = 8.5628 Å
α = 90.33°, β = 90.00°, γ = 90.00°
Each line ends with the local moment (μB).
Sites, in units of the cell vectors:
O 0.5000 0.0678 0.8580  0.10
O 0.5000 0.6086 0.1047  0.07
O 0.7734 0.7727 0.8708  0.13
O 0.2280 0.2189 0.1284  0.09
O 0.5000 0.4055 0.8944  0.12
O 0.5000 0.3836 0.3653  0.20
O 0.0000 0.0979 0.3949  0.13
O 0.2738 0.7304 0.3750  0.14
O 0.0000 0.1202 0.8644  0.20
O 0.5000 0.6190 0.6353  0.19
O 0.0000 0.5645 0.6446  0.10
O 0.0000 0.4314 0.3521  0.10
O 0.2266 0.7727 0.8708  0.13
O 0.2734 0.2700 0.6284  0.14
O 0.7262 0.7304 0.3750  0.14
O 0.5000 0.9409 0.1508  0.10
O 0.7720 0.2189 0.1284  0.09
O 0.0000 0.9018 0.6053  0.12
O 0.7266 0.2700 0.6284  0.14
O 0.0000 0.8747 0.1344  0.20
Co 0.7311 0.4977 0.4996  2.57
Co 0.2280 0.0002 0.0020  2.57
Co 0.0000 0.8620 0.3676  2.60
Co 0.2689 0.4977 0.4996  2.57
Co 0.0000 0.1388 0.6293  2.58
Co 0.5000 0.6416 0.8713  2.60
Co 0.7720 0.0002 0.0020  2.57
Cu 0.5000 0.3675 0.1319  0.46
H 0.5000 0.7285 0.5865  0.00
H 0.5000 0.2689 0.4018  0.00
H 0.0000 0.2298 0.9142  0.00
H 0.0000 0.7644 0.0862  0.00
As 0.5000 0.7562 0.2470  0.02
As 0.0000 0.2474 0.2508  0.02
As 0.0000 0.7490 0.7439  0.03
As 0.5000 0.2499 0.7566  0.02

Properties
VASP energy, eV/f.u.: -229.721


(13)
KCo2CuAs | GGA-PBEsol | relaxed

a = 4.4896 Å, b = 4.4896 Å, c = 4.6431 Å
α = 90.00°, β = 90.00°, γ = 90.00°
Each line ends with the local moment (μB).
Sites, in units of the cell vectors:
K 0.5000 0.5000 0.5000  -0.01
As 0.0000 0.0000 0.0000  0.01
Cu 0.0000 0.0000 0.5000  0.02
Co 0.5000 0.0000 0.0000  1.55
Co 0.0000 0.5000 0.0000  1.55

Properties
E_form, eV per atom: 0.61


(14)
SrCoCu2As | GGA-PBEsol | relaxed

a = 4.4539 Å, b = 4.4539 Å, c = 5.8910 Å
α = 90.00°, β = 90.00°, γ = 90.00°
Each line ends with the local moment (μB).
Sites, in units of the cell vectors:
Sr 0.0000 0.0000 0.5000  -0.04
As 0.0000 0.0000 0.0000  0.04
Cu 0.5000 0.0000 0.0000  0.03
Cu 0.0000 0.5000 0.0000  0.03
Co 0.5000 0.5000 0.5000  1.96

Properties
E_form, eV per atom: 0.70


(15)
Tl2CoCuAs | GGA-PBEsol | relaxed

a = 4.5107 Å, b = 4.9331 Å, c = 4.9331 Å
α = 90.00°, β = 90.00°, γ = 90.00°
Each line ends with the local moment (μB).
Sites, in units of the cell vectors:
Cu 0.0000 0.0000 0.0000  0.04
Tl 0.0000 0.5000 0.0000  0.00
Tl 0.0000 0.0000 0.5000  0.00
As 0.5000 0.5000 0.5000  -0.01
Co 0.5000 0.0000 0.0000  1.80

Properties
E_form, eV per atom: 0.86


(16)
EuCo2As2 | GGA-PBEsol | relaxed

a = 3.9651 Å, b = 3.9651 Å, c = 5.8361 Å
α = 109.86°, β = 109.86°, γ = 90.00°
Each line ends with the local moment (μB).
Sites, in units of the cell vectors:
Co 0.7500 0.2500 0.5000  0.68
Co 0.2500 0.7500 0.5000  0.68
As 0.3649 0.3649 0.7298  0.00
As 0.6351 0.6351 0.2702  0.00
Eu 0.0000 0.0000 0.0000  6.72

Properties
E_form, eV per atom: -0.73


(17)
CoAs2F | GGA-PBEsol | relaxed

a = 5.0177 Å, b = 5.0177 Å, c = 6.7426 Å
α = 111.84°, β = 111.84°, γ = 90.00°
Sites, in units of the cell vectors:
As 0.3241 0.8750 0.2500
As 0.1250 0.0741 0.7500
As 0.6250 0.6759 0.7500
As 0.9259 0.3750 0.2500
F 0.5000 0.5000 0.0000
F 0.7500 0.2500 0.5000
Co 0.2500 0.7500 0.5000
Co 0.0000 0.0000 0.0000

Properties
Uncorrected formation energy, eV per atom: -0.268


(18)
CoAs4F18 | GGA-PBEsol | relaxed

a = 7.2214 Å, b = 7.2550 Å, c = 12.5129 Å
α = 90.00°, β = 90.00°, γ = 92.57°
Each line ends with the local moment (μB).
Sites, in units of the cell vectors:
F 0.2788 0.9554 0.5522  0.00
F 0.0394 0.6006 0.6236  0.00
F 0.2212 0.5446 0.0522  0.00
F 0.7212 0.0446 0.4478  0.00
F 0.1966 0.1673 0.7560  0.00
F 0.6406 0.2379 0.2488  0.00
F 0.7376 0.0582 0.0380  0.03
F 0.4385 0.4603 0.6556  0.04
F 0.5647 0.7858 0.9492  0.00
F 0.8594 0.2621 0.7488  0.00
F 0.5625 0.7661 0.5321  0.03
F 0.5394 0.1006 0.8764  0.00
F 0.0615 0.0397 0.1556  0.04
F 0.0809 0.5709 0.8751  0.00
F 0.4353 0.2142 0.0508  0.00
F 0.2624 0.9418 0.9620  0.03
F 0.4606 0.8994 0.1236  0.00
F 0.4191 0.9291 0.3751  0.00
F 0.0625 0.2661 0.9679  0.03
F 0.9385 0.9603 0.8444  0.04
F 0.5615 0.5397 0.3444  0.04
F 0.4375 0.2339 0.4679  0.03
F 0.8034 0.8327 0.2440  0.00
F 0.3034 0.3327 0.2560  0.00
F 0.5809 0.0709 0.6249  0.00
F 0.9191 0.4291 0.1249  0.00
F 0.2376 0.5582 0.4620  0.03
F 0.6966 0.6673 0.7440  0.00
F 0.9353 0.7142 0.4492  0.00
F 0.9375 0.7339 0.0321  0.03
F 0.7788 0.4554 0.9478  0.00
F 0.0647 0.2858 0.5508  0.00
F 0.1406 0.7379 0.2512  0.00
F 0.7624 0.4418 0.5380  0.03
F 0.9606 0.3994 0.3764  0.00
F 0.3594 0.7621 0.7512  0.00
As 0.9842 0.0726 0.7131  0.01
As 0.5000 0.0000 0.5000  0.01
As 0.5158 0.4274 0.2131  0.01
As 0.4842 0.5726 0.7869  0.01
As 0.0000 0.5000 0.5000  0.01
As 0.5000 0.0000 0.0000  0.01
As 0.0000 0.5000 0.0000  0.01
As 0.0158 0.9274 0.2869  0.01
Co 0.5000 0.5000 0.5000  2.68
Co 0.0000 0.0000 0.0000  2.68

Properties
Uncorrected formation energy, eV per atom: -2.053


(19)
CoAs3F | GGA-PBEsol | relaxed

a = 4.4673 Å, b = 4.4673 Å, c = 4.4673 Å
α = 90.00°, β = 90.00°, γ = 90.00°
Each line ends with the local moment (μB).
Sites, in units of the cell vectors:
As 0.5000 0.0000 0.0000  0.09
As 0.0000 0.5000 0.0000  0.09
As 0.0000 0.0000 0.5000  0.09
F 0.5000 0.5000 0.5000  0.18
Co 0.0000 0.0000 0.0000  0.46

Properties
Uncorrected formation energy, eV per atom: 0.161


(20)
Co2AsF | GGA-PBEsol | relaxed

a = 4.9818 Å, b = 4.9818 Å, c = 4.9818 Å
α = 112.38°, β = 108.04°, γ = 108.04°
Each line ends with the local moment (μB).
Sites, in units of the cell vectors:
F 0.5000 0.2500 0.7500  0.04
F 0.0000 0.5000 0.5000  0.04
Co 0.9669 0.5919 0.1250  1.06
Co 0.4669 0.8750 0.8419  1.06
Co 0.0331 0.1581 0.6250  1.06
Co 0.5331 0.3750 0.4081  1.06
As 0.0000 0.0000 0.0000  -0.07
As 0.5000 0.7500 0.2500  -0.07

Properties
Uncorrected formation energy, eV per atom: -0.120


In the order shown, the computed spin magnetization values come out to 3.848 0.001 0.893 1.612 5.194 2.759 0.000 2.393 0.811 0.992 0.195 21.886 2.986 1.946 1.810 8.292 0.000 3.000 1.164 2.043 μB per formula unit.